1.
This record from Alexandria describes a geometry-optimized MgAl2In2 structure. The functional is GGA-PBE.

abc: 8.0396 8.0396 8.0396
angles: 151.57 151.57 40.64
Closest atoms and distances in Å follow each position.
Fractional coordinates of all 5 atoms:
Mg 0.0000 0.0000 0.0000  8 In 3.20
Al 0.2500 0.7500 0.5000  4 Al 2.79, 4 In 2.96
Al 0.7500 0.2500 0.5000  4 Al 2.79, 4 In 2.96
In 0.3961 0.3961 0.0000  4 Al 2.96, 1 In 3.13, 4 Mg 3.20
In 0.6039 0.6039 0.0000  4 Al 2.96, 1 In 3.13, 4 Mg 3.20

Summary:
- N(E_F) (states/eV per atom) = 0.453
- ρ (g/cm³) = 4.3
- calculated formation energy (meV per atom) = 150
- energy above the most stable polymorph in this dataset (meV per atom) = 9.8

---

2.
This record from Alexandria describes a geometry-optimized MgAl2In structure. The functional is GGA-PBE.

abc: 5.2561 5.2561 3.1637
angles: 90.00 90.00 110.68
Closest atoms and distances in Å follow each position.
Fractional coordinates of all 4 atoms:
Mg 0.0000 0.0000 0.0000  2 In 2.99, 8 Al 3.07, 2 Mg 3.16
Al 0.0000 0.5000 0.5000  4 Al 2.99-3.16, 4 In 3.07, 4 Mg 3.07
Al 0.5000 0.0000 0.5000  4 Al 2.99-3.16, 4 In 3.07, 4 Mg 3.07
In 0.5000 0.5000 0.0000  2 Mg 2.99, 8 Al 3.07, 2 In 3.16

Summary:
- N(E_F) (states/eV per atom) = 0.341
- ρ (g/cm³) = 3.9
- calculated formation energy (meV per atom) = 74

---

3.
This record from Alexandria describes a geometry-optimized MgAl2In structure. The functional is GGA-PBE.

abc: 5.4678 5.4678 4.8752
angles: 98.95 98.95 34.72
Closest atoms and distances in Å follow each position.
Fractional coordinates of all 4 atoms:
Mg 0.0000 0.0000 0.0000  4 In 2.93, 6 Al 3.07-3.11, 2 Mg 3.26
Al 0.2534 0.2534 0.7572  4 Al 2.89-2.98, 3 In 3.04-3.19, 3 Mg 3.07-3.11
Al 0.7466 0.7466 0.2428  4 Al 2.89-2.98, 3 In 3.04-3.19, 3 Mg 3.07-3.11
In 0.5000 0.5000 0.5000  4 Mg 2.93, 6 Al 3.04-3.19, 2 In 3.26

Summary:
- N(E_F) (states/eV per atom) = 0.677
- ρ (g/cm³) = 3.9
- calculated formation energy (meV per atom) = 90

---

4.
This record from Alexandria describes a geometry-optimized Mg8AlIn6 structure. The functional is GGA-PBE.

abc: 8.0294 8.0294 8.0294
angles: 62.42 62.42 62.42
Closest atoms and distances in Å follow each position.
Fractional coordinates of all 15 atoms:
Mg 0.0372 0.7234 0.3883  4 In 2.98-3.02
Mg 0.1687 0.1687 0.1687  6 In 3.04-3.06
Mg 0.2766 0.6117 0.9628  4 In 2.98-3.02
Mg 0.3883 0.0372 0.7234  4 In 2.98-3.02
Mg 0.6117 0.9628 0.2766  4 In 2.98-3.02
Mg 0.7234 0.3883 0.0372  4 In 2.98-3.02
Mg 0.8313 0.8313 0.8313  6 In 3.04-3.06
Mg 0.9628 0.2766 0.6117  4 In 2.98-3.02
Al 0.5000 0.5000 0.5000  6 In 2.93
In 0.1194 0.4357 0.7653  1 Al 2.93, 6 Mg 2.98-3.06
In 0.2347 0.8806 0.5643  1 Al 2.93, 6 Mg 2.98-3.06
In 0.4357 0.7653 0.1194  1 Al 2.93, 6 Mg 2.98-3.06
In 0.5643 0.2347 0.8806  1 Al 2.93, 6 Mg 2.98-3.06
In 0.7653 0.1194 0.4357  1 Al 2.93, 6 Mg 2.98-3.06
In 0.8806 0.5643 0.2347  1 Al 2.93, 6 Mg 2.98-3.06

Summary:
- N(E_F) (states/eV per atom) = 0.442
- ρ (g/cm³) = 3.9
- calculated formation energy (meV per atom) = 59

---

Total magnetization, respectively: 0.0, 0.0, 0.0, 0.0 μB per cell.